A relaxed NaAgWF6 crystal, computed with GGA+U.

The structure belongs to space group P-31c (No. 163); the cell edges are 5.8410, 5.8410 and 9.9806 Å and the angles 90.00°, 90.00° and 120.00°. The inequivalent atoms are Na at (0.3333, 0.6667, 0.2500), Ag at (0.0000, 0.0000, 0.0000), W at (0.3333, 0.6667, 0.7500) and F at (0.0423, 0.3844, 0.6364).

The calculation puts the density of states at the Fermi level at 0.000 states/eV per atom. The total magnetization comes out at 3.99 Bohr magnetons per cell. For the total energy, the calculation gives -88.02 eV/cell. The calculation puts the calculated volume at 16.38 A^3/atom.